# TbErSnRh | Alexandria | PBE-GGA | relaxed
data_TbErSnRh
_cell_length_a 7.1973
_cell_length_b 7.1973
_cell_length_c 7.1973
_cell_angle_alpha 90.00
_cell_angle_beta 90.00
_cell_angle_gamma 90.00
_space_group_name_H-M_alt 'F -4 3 m'
_space_group_IT_number 216
_space_group_name_Hall 'F -4 2 3'
loop_
_atom_site_label
_atom_site_type_symbol
_atom_site_fract_x
_atom_site_fract_y
_atom_site_fract_z
_atom_site_occupancy
Tb1 Tb 0.0000 0.0000 0.0000 1
Er1 Er 0.0000 0.0000 0.5000 1
Sn1 Sn 0.2500 0.2500 0.2500 1
Rh1 Rh 0.2500 0.2500 0.7500 1
# total moment: 0.000 μB per formula unit
# density: 9.8 Mg/m³
# energy of formation: -2.6 eV/f.u.
# crystal system: cubic